The following is a DFT calculation (PBE with a Hubbard U) of a geometry-optimized Li3CrP2O8 structure.

```
data_Li3CrP2O8
_cell_length_a 8.2194
_cell_length_b 5.4044
_cell_length_c 6.2537
_cell_angle_alpha 90.00
_cell_angle_beta 90.53
_cell_angle_gamma 90.00
_space_group_name_H-M_alt 'C 1 2/m 1'
_space_group_IT_number 12
loop_
_space_group_symop_operation_xyz
'x,y,z'
'-x,-y,-z'
'-x,y,-z'
'x,-y,z'
'x+1/2,y+1/2,z'
'-x+1/2,-y+1/2,-z'
'-x+1/2,y+1/2,-z'
'x+1/2,-y+1/2,z'
loop_
_atom_site_label
_atom_site_type_symbol
_atom_site_fract_x
_atom_site_fract_y
_atom_site_fract_z
Li1 Li 0.0000 0.0000 0.0000
Li2 Li 0.1731 0.5000 0.2262
Cr1 Cr 0.0000 0.0000 0.5000
P1 P 0.1502 0.5000 0.7336
O1 O 0.0325 0.2685 0.7283
O2 O 0.2423 0.0000 0.4693
O3 O 0.2470 0.0000 0.0647
```

Results
calculated volume: 138.9 Å³/f.u.
ΔE to the lowest computed polymorph: 0.0 kJ per mole of atoms